No. 1
Computed, not measured: crystalline ZnGa2Cu2Pt2 at its relaxed geometry at the GGA-PBE level of DFT.

abc: 4.467 4.467 6.517
angles: 100.04 100.04 51.76
Element x y z (fractional)
Zn: 0.000 0.000 0.000
Ga: 0.424 0.424 0.284
Ga: 0.576 0.576 0.716
Cu: 0.138 0.138 0.425
Cu: 0.862 0.862 0.575
Pt: 0.281 0.281 0.840
Pt: 0.719 0.719 0.160

Values from the calculation:
Its crystal system is monoclinic. The value obtained for the energy relative to the elements is -0.38 eV per atom.

No. 2
Computed, not measured: crystalline La4TbY7 at its relaxed geometry at the GGA-PBE level of DFT.

abc: 3.634 3.634 35.333
angles: 90.00 90.00 120.00
Element x y z (fractional)
La: 0.333 0.667 0.166
La: 0.333 0.667 0.416
La: 0.667 0.333 0.584
La: 0.667 0.333 0.834
Tb: 0.000 0.000 0.000
Y: 0.000 0.000 0.250
Y: 0.000 0.000 0.500
Y: 0.000 0.000 0.750
Y: 0.333 0.667 0.668
Y: 0.333 0.667 0.919
Y: 0.667 0.333 0.081
Y: 0.667 0.333 0.332

Values from the calculation:
Its crystal system is trigonal. Its polymorph energy (0 for the lowest one) is 0.000 eV per atom. The value obtained for the energy relative to the elements is 0.01 eV per atom.